Record 1
# Nd2Ho3Cd2, optimized geometry, DFT PBE
# **Space group**: R-3m (166)
# **Energy relative to the lowest polymorph listed for this composition**: 0 meV per atom
# **ΔH_f (0 K)**: -0.141 eV/atom
# **Volume**: 29.53 Å³ per atom
# **Calculated total energy**: -3.727 eV per atom
data_Nd2Ho3Cd2
_chemical_formula_sum 'Nd2 Ho3 Cd2'
_cell_length_a 5.448
_cell_length_b 5.450
_cell_length_c 8.631
_cell_angle_alpha 108.38
_cell_angle_beta 90.00
_cell_angle_gamma 119.99
_space_group_name_H-M_alt 'P 1'
_space_group_IT_number 1
loop_
_space_group_symop_operation_xyz
'x,y,z'
loop_
_atom_site_label
_atom_site_fract_x
_atom_site_fract_y
_atom_site_fract_z
_atom_site_occupancy
Ho1 0.344 0.688 0.533 1
Ho2 0.656 0.312 0.467 1
Ho3 0.500 0.000 0.000 1
Nd1 0.925 0.850 0.274 1
Nd2 0.075 0.150 0.726 1
Cd1 0.213 0.426 0.139 1
Cd2 0.787 0.574 0.861 1


Record 2
# NdHo7Cd4, optimized geometry, DFT PBE
# **Space group**: C2/m (12)
# **ΔH_f (0 K)**: 0.010 eV/atom
# **Volume**: 28.71 Å³ per atom
# **Calculated total energy**: -3.362 eV per atom
data_NdHo7Cd4
_chemical_formula_sum 'Nd1 Ho7 Cd4'
_cell_length_a 5.704
_cell_length_b 8.983
_cell_length_c 7.873
_cell_angle_alpha 69.95
_cell_angle_beta 68.76
_cell_angle_gamma 71.49
_space_group_name_H-M_alt 'P 1'
_space_group_IT_number 1
loop_
_space_group_symop_operation_xyz
'x,y,z'
loop_
_atom_site_label
_atom_site_fract_x
_atom_site_fract_y
_atom_site_fract_z
_atom_site_occupancy
Ho1 0.263 0.692 0.781 1
Ho2 0.737 0.308 0.219 1
Ho3 0.500 0.000 0.000 1
Ho4 0.072 0.586 0.271 1
Ho5 0.928 0.414 0.729 1
Ho6 0.206 0.120 0.468 1
Ho7 0.794 0.880 0.532 1
Cd1 0.459 0.712 0.371 1
Cd2 0.682 0.659 0.976 1
Cd3 0.318 0.341 0.024 1
Cd4 0.541 0.288 0.629 1
Nd1 0.000 0.000 0.000 1


Record 3
# NdHoCd3, optimized geometry, DFT PBE
# **Space group**: Cmcm (63)
# **ΔH_f (0 K)**: -0.306 eV/atom
# **Volume**: 26.16 Å³ per atom
# **Calculated total energy**: -2.724 eV per atom
data_NdHoCd3
_chemical_formula_sum 'Nd2 Ho2 Cd6'
_cell_length_a 3.509
_cell_length_b 5.013
_cell_length_c 14.978
_cell_angle_alpha 90.00
_cell_angle_beta 96.73
_cell_angle_gamma 90.00
_space_group_name_H-M_alt 'P 1'
_space_group_IT_number 1
loop_
_space_group_symop_operation_xyz
'x,y,z'
loop_
_atom_site_label
_atom_site_fract_x
_atom_site_fract_y
_atom_site_fract_z
_atom_site_occupancy
Cd1 0.377 0.250 0.754 1
Cd2 0.322 0.750 0.645 1
Cd3 0.476 0.250 0.952 1
Cd4 0.524 0.750 0.048 1
Cd5 0.678 0.250 0.355 1
Cd6 0.623 0.750 0.246 1
Ho1 0.215 0.750 0.430 1
Ho2 0.785 0.250 0.570 1
Nd1 0.075 0.250 0.150 1
Nd2 0.925 0.750 0.850 1


Record 4
# Nd7HoCd2, optimized geometry, DFT PBE
# **Space group**: Cmmm (65)
# **ΔH_f (0 K)**: 0.373 eV/atom
# **Volume**: 39.61 Å³ per atom
# **Calculated total energy**: -3.605 eV per atom
data_Nd7HoCd2
_chemical_formula_sum 'Nd7 Ho1 Cd2'
_cell_length_a 5.341
_cell_length_b 9.336
_cell_length_c 9.336
_cell_angle_alpha 121.71
_cell_angle_beta 90.00
_cell_angle_gamma 90.00
_space_group_name_H-M_alt 'P 1'
_space_group_IT_number 1
loop_
_space_group_symop_operation_xyz
'x,y,z'
loop_
_atom_site_label
_atom_site_fract_x
_atom_site_fract_y
_atom_site_fract_z
_atom_site_occupancy
Ho1 0.000 0.000 0.000 1
Cd1 0.500 0.304 0.696 1
Cd2 0.500 0.696 0.304 1
Nd1 0.500 0.500 0.500 1
Nd2 0.000 0.221 0.779 1
Nd3 0.500 0.933 0.700 1
Nd4 0.500 0.067 0.300 1
Nd5 0.000 0.779 0.221 1
Nd6 0.500 0.700 0.933 1
Nd7 0.500 0.300 0.067 1


Record 5
# NdHo6Cd, optimized geometry, DFT PBE
# **Space group**: R-3 (148)
# **ΔH_f (0 K)**: 0.054 eV/atom
# **Volume**: 30.79 Å³ per atom
# **Calculated total energy**: -4.089 eV per atom
data_NdHo6Cd
_chemical_formula_sum 'Nd1 Ho6 Cd1'
_cell_length_a 9.260
_cell_length_b 8.524
_cell_length_c 6.289
_cell_angle_alpha 47.36
_cell_angle_beta 42.63
_cell_angle_gamma 57.10
_space_group_name_H-M_alt 'P 1'
_space_group_IT_number 1
loop_
_space_group_symop_operation_xyz
'x,y,z'
loop_
_atom_site_label
_atom_site_fract_x
_atom_site_fract_y
_atom_site_fract_z
_atom_site_occupancy
Cd1 0.000 0.000 0.000 1
Ho1 0.759 0.959 0.730 1
Ho2 0.959 0.551 0.249 1
Ho3 0.448 0.759 0.832 1
Ho4 0.552 0.241 0.168 1
Ho5 0.241 0.041 0.270 1
Ho6 0.041 0.449 0.751 1
Nd1 0.500 0.500 0.500 1


Record 6
# Nd3Ho4Cd, optimized geometry, DFT PBE
# **Space group**: P4/mmm (123)
# **Energy relative to the lowest polymorph listed for this composition**: 0 meV per atom
# **ΔH_f (0 K)**: -0.067 eV/atom
# **Volume**: 31.31 Å³ per atom
# **Calculated total energy**: -4.258 eV per atom
data_Nd3Ho4Cd
_chemical_formula_sum 'Nd3 Ho4 Cd1'
_cell_length_a 3.609
_cell_length_b 3.609
_cell_length_c 19.225
_cell_angle_alpha 90.00
_cell_angle_beta 90.00
_cell_angle_gamma 90.00
_space_group_name_H-M_alt 'P 1'
_space_group_IT_number 1
loop_
_space_group_symop_operation_xyz
'x,y,z'
loop_
_atom_site_label
_atom_site_fract_x
_atom_site_fract_y
_atom_site_fract_z
_atom_site_occupancy
Ho1 0.000 0.000 0.105 1
Ho2 0.000 0.000 0.368 1
Ho3 0.000 0.000 0.895 1
Ho4 0.000 0.000 0.632 1
Nd1 0.500 0.500 0.500 1
Nd2 0.500 0.500 0.764 1
Nd3 0.500 0.500 0.236 1
Cd1 0.500 0.500 0.000 1


Record 7
# Nd7Ho12Cd, optimized geometry, DFT PBE
# **Space group**: R-3 (148)
# **ΔH_f (0 K)**: 0.185 eV/atom
# **Volume**: 33.38 Å³ per atom
# **Calculated total energy**: -4.276 eV per atom
data_Nd7Ho12Cd
_chemical_formula_sum 'Nd7 Ho12 Cd1'
_cell_length_a 8.741
_cell_length_b 8.741
_cell_length_c 8.741
_cell_angle_alpha 89.40
_cell_angle_beta 89.40
_cell_angle_gamma 89.40
_space_group_name_H-M_alt 'P 1'
_space_group_IT_number 1
loop_
_space_group_symop_operation_xyz
'x,y,z'
loop_
_atom_site_label
_atom_site_fract_x
_atom_site_fract_y
_atom_site_fract_z
_atom_site_occupancy
Ho1 0.660 0.538 0.878 1
Ho2 0.669 0.108 0.995 1
Ho3 0.462 0.122 0.340 1
Ho4 0.340 0.462 0.122 1
Ho5 0.005 0.331 0.892 1
Ho6 0.108 0.995 0.669 1
Ho7 0.538 0.878 0.660 1
Ho8 0.331 0.892 0.005 1
Ho9 0.892 0.005 0.331 1
Ho10 0.878 0.660 0.538 1
Ho11 0.122 0.340 0.462 1
Ho12 0.995 0.669 0.108 1
Nd1 0.214 0.618 0.768 1
Nd2 0.232 0.786 0.382 1
Nd3 0.382 0.232 0.786 1
Nd4 0.500 0.500 0.500 1
Nd5 0.768 0.214 0.618 1
Nd6 0.618 0.768 0.214 1
Nd7 0.786 0.382 0.232 1
Cd1 0.000 0.000 0.000 1


Record 8
# Nd2Ho3Cd3, optimized geometry, DFT PBE
# **Space group**: Pmmm (47)
# **Energy relative to the lowest polymorph listed for this composition**: 47 meV per atom
# **ΔH_f (0 K)**: -0.176 eV/atom
# **Volume**: 28.16 Å³ per atom
# **Calculated total energy**: -3.428 eV per atom
data_Nd2Ho3Cd3
_chemical_formula_sum 'Nd2 Ho3 Cd3'
_cell_length_a 4.935
_cell_length_b 4.934
_cell_length_c 9.253
_cell_angle_alpha 90.00
_cell_angle_beta 90.00
_cell_angle_gamma 90.00
_space_group_name_H-M_alt 'P 1'
_space_group_IT_number 1
loop_
_space_group_symop_operation_xyz
'x,y,z'
loop_
_atom_site_label
_atom_site_fract_x
_atom_site_fract_y
_atom_site_fract_z
_atom_site_occupancy
Nd1 0.000 0.000 0.744 1
Nd2 0.000 0.000 0.256 1
Cd1 0.000 0.500 0.500 1
Cd2 0.500 0.000 0.500 1
Cd3 0.000 0.500 0.000 1
Ho1 0.500 0.000 0.000 1
Ho2 0.500 0.500 0.271 1
Ho3 0.500 0.500 0.729 1


no.,density of states at the Fermi level (states/eV/atom)
1,1.344
2,1.165
3,1.010
4,1.748
5,1.205
6,1.196
7,1.702
8,1.273